Record 1
The following is a DFT calculation (PBE) of an optimized crystal structure of LuScSnC.

crystal system: trigonal
ΔE to the lowest computed polymorph: 2 meV/atom
raw total energy: -6.658 eV/atom
space group: P-3m1 (164)

Cell: 3.4562 3.4562 15.1902 Å, 90.00 90.00 120.00°
Element x y z (fractional)
Lu 0.3333 0.6667 0.4144
Lu 0.6667 0.3333 0.5856
Sc 0.3333 0.6667 0.0789
Sc 0.6667 0.3333 0.9211
Sn 0.3333 0.6667 0.7567
Sn 0.6667 0.3333 0.2433
C 0.0000 0.0000 0.0000
C 0.0000 0.0000 0.5000


Record 2
The following is a DFT calculation (PBE) of an optimized crystal structure of Lu3ScTe2C2.

crystal system: trigonal
raw total energy: -6.454 eV/atom
space group: P3m1 (156)

Cell: 3.6998 3.6998 13.5670 Å, 90.00 90.00 120.00°
Element x y z (fractional)
Lu 0.0000 0.0000 0.0000
Lu 0.0000 0.0000 0.3216
Lu 0.3333 0.6667 0.5076
Sc 0.3333 0.6667 0.8214
Te 0.0000 0.0000 0.6702
Te 0.3333 0.6667 0.1608
C 0.6667 0.3333 0.4146
C 0.6667 0.3333 0.9089


> Which value of raw total energy does entry 2 give?

-6.454 eV/atom


> The lowest raw total energy belongs to which entry?

LuScSnC